{"formula": "K2TaHg", "functional": "PBE-GGA", "state": "optimized geometry", "cell": [[4.853, -1.520, 0.000], [4.853, 1.520, 0.000], [-0.495, 0.000, 9.783]], "species": ["K", "K", "Ta", "Hg"], "fractional_positions": [[0.000, 0.000, 0.000], [0.233, 0.233, 0.600], [0.474, 0.474, 0.340], [0.738, 0.738, 0.247]], "final_energy_ev_per_cell": -11.155}

{"formula": "KNpTiS4", "functional": "PBE-GGA", "state": "optimized geometry", "cell": [[6.673, 0.000, 0.000], [0.000, 6.638, 0.000], [-2.736, 0.000, 8.429]], "species": ["K", "K", "Np", "Np", "Ti", "Ti", "S", "S", "S", "S", "S", "S", "S", "S"], "fractional_positions": [[0.224, 0.250, 0.437], [0.776, 0.750, 0.563], [0.282, 0.250, 0.949], [0.718, 0.750, 0.051], [0.269, 0.750, 0.172], [0.731, 0.250, 0.828], [0.056, 0.750, 0.922], [0.060, 0.750, 0.330], [0.494, 0.508, 0.794], [0.494, 0.992, 0.794], [0.506, 0.008, 0.206], [0.506, 0.492, 0.206], [0.940, 0.250, 0.670], [0.944, 0.250, 0.078]], "formation_energy_uncorrected_ev_per_atom": -1.33, "final_energy_ev_per_cell": -95.505}

{"formula": "Tb7Zn2Pd2", "functional": "PBE-GGA", "state": "optimized geometry", "cell": [[3.866, -5.465, 0.000], [3.866, 5.465, 0.000], [0.000, 0.000, 7.181]], "species": ["Tb", "Tb", "Tb", "Tb", "Tb", "Tb", "Tb", "Zn", "Zn", "Pd", "Pd"], "fractional_positions": [[0.000, 0.000, 0.000], [0.000, 0.500, 0.267], [0.000, 0.500, 0.733], [0.500, 0.000, 0.267], [0.500, 0.000, 0.733], [0.500, 0.500, 0.261], [0.500, 0.500, 0.739], [0.167, 0.167, 0.500], [0.833, 0.833, 0.500], [0.293, 0.707, 0.000], [0.707, 0.293, 0.000]], "final_energy_ev_per_cell": -48.133}

| no. | size of the total moment (μB per formula unit) |
| --- | --- |
| 1 | 0.00 |
| 2 | 4.00 |
| 3 | 0.00 |